i:
# Li7Mn2Co3O12

Li7Mn2Co3O12 after structural relaxation (PBE+U, Alexandria via LeMat-Bulk).

a = 14.9274 Å, b = 2.9057 Å, c = 11.8273 Å
α = 90.00°, β = 125.41°, γ = 90.00°
Space group Cm (No. 8)
Inequivalent atoms, fractional coordinates:
Li (0.0000, 0.0000, 0.0000) (multiplicity 2)
Li (0.0012, 0.0000, 0.7643) (multiplicity 2)
Li (0.0066, 0.0000, 0.5275) (multiplicity 2)
Li (0.1539, 0.5000, 0.9856) (multiplicity 2)
Li (0.1746, 0.5000, 0.5240) (multiplicity 2)
Li (0.3346, 0.0000, 0.0014) (multiplicity 2)
Li (0.3495, 0.0000, 0.5398) (multiplicity 2)
Mn (0.0030, 0.0000, 0.2590) (multiplicity 2)
Mn (0.3359, 0.0000, 0.2682) (multiplicity 2)
Co (0.1668, 0.5000, 0.7604) (multiplicity 2)
Co (0.1707, 0.5000, 0.2658) (multiplicity 2)
Co (0.3396, 0.0000, 0.7653) (multiplicity 2)
O (0.0110, 0.5000, 0.1482) (multiplicity 2)
O (0.0187, 0.5000, 0.6483) (multiplicity 2)
O (0.1617, 0.0000, 0.3700) (multiplicity 2)
O (0.1722, 0.0000, 0.8710) (multiplicity 2)
O (0.1772, 0.0000, 0.6580) (multiplicity 2)
O (0.1784, 0.0000, 0.1608) (multiplicity 2)
O (0.3277, 0.5000, 0.8691) (multiplicity 2)
O (0.3297, 0.5000, 0.3835) (multiplicity 2)
O (0.3349, 0.5000, 0.6535) (multiplicity 2)
O (0.3438, 0.5000, 0.1482) (multiplicity 2)
O (0.4930, 0.0000, 0.8829) (multiplicity 2)
O (0.4967, 0.0000, 0.3759) (multiplicity 2)

Output
Magnetization = 0.3476 μB per atom
DOS at the Fermi energy = 5.03 states/eV/f.u.
Calculated density = 4.19 g cm⁻³
Crystal system = monoclinic

ii:
# Li7Mn2Co3O12

Li7Mn2Co3O12 after structural relaxation (PBE+U, Alexandria via LeMat-Bulk).

a = 15.1019 Å, b = 2.8649 Å, c = 10.3038 Å
α = 90.00°, β = 109.12°, γ = 90.00°
Space group C2/m (No. 12)
Inequivalent atoms, fractional coordinates:
Li (0.0000, 0.0000, 0.0000) (multiplicity 2)
Li (0.0060, 0.5000, 0.7871) (multiplicity 4)
Li (0.1585, 0.0000, 0.4088) (multiplicity 4)
Li (0.1671, 0.0000, 0.9297) (multiplicity 4)
Mn (0.1707, 0.5000, 0.6748) (multiplicity 4)
Co (0.0000, 0.0000, 0.5000) (multiplicity 2)
Co (0.1603, 0.5000, 0.1627) (multiplicity 4)
O (0.0898, 0.0000, 0.2056) (multiplicity 4)
O (0.0923, 0.5000, 0.4853) (multiplicity 4)
O (0.0922, 0.5000, 0.9784) (multiplicity 4)
O (0.0967, 0.0000, 0.7146) (multiplicity 4)
O (0.2429, 0.0000, 0.1379) (multiplicity 4)
O (0.2485, 0.0000, 0.6415) (multiplicity 4)

Output
Magnetization = 0.4087 μB per atom
DOS at the Fermi energy = 4.81 states/eV/f.u.
Calculated density = 4.16 g cm⁻³
Crystal system = monoclinic

Stability, descending: ii, i